The following is a GGA-PBE calculation of crystalline RbTa2FeHg at its relaxed geometry, from Alexandria via LeMat-Bulk.

Calculated values
- E_form (eV/atom) = 2.43
- space-group type = No. 123
- total DFT energy (no corrections) (eV/cell) = -21.28
- Fermi-level density of states (states/eV per cell) = 8.56
- crystal system = tetragonal

POSCAR file:
```
RbTa2FeHg
1.0
-4.1707 -1.3120 -2.7555
-0.0664 -5.3394 2.6428
-3.0514 1.8808 3.7231
Ta Rb Hg Fe
2 1 1 1
Cartesian
-1.5257 0.9404 1.8615
-2.0854 -0.6560 -1.3778
-0.0332 -2.6697 1.3214
0.0000 0.0000 0.0000
-3.6443 -2.3853 1.8052
```